(1)
This record from the Alexandria database describes a geometry-optimized LaThIn4 structure. The functional is GGA-PBE.

Output
As for the calculated volume: 331.4 Å³ per cell. The calculation puts the density of states at the Fermi level at 0.392 states/eV/atom. For the formation energy, the calculation gives -9.0 kcal/mol of atoms.

The structure in CIF format:
```
data_LaThIn4
_symmetry_space_group_name_H-M 'I m m m'
_symmetry_Int_Tables_number 71
_symmetry_space_group_name_Hall '-I 2 2'
_cell_length_a 5.068
_cell_length_b 7.461
_cell_length_c 8.764
_cell_angle_alpha 90.00
_cell_angle_beta 90.00
_cell_angle_gamma 90.00
loop_
_atom_site_label
_atom_site_type_symbol
_atom_site_fract_x
_atom_site_fract_y
_atom_site_fract_z
La1 La 0.000 0.000 0.000
Th1 Th 0.000 0.500 0.000
In1 In 0.000 0.250 0.333
```

=====

(2)
This record from the Alexandria database describes a geometry-optimized La2Th2In3 structure. The functional is GGA-PBE.

Output
As for the calculated volume: 422.9 Å³ per cell. The calculation puts the density of states at the Fermi level at 1.036 states/eV/atom. For the formation energy, the calculation gives -5.5 kcal/mol of atoms.

The structure in CIF format:
```
data_La2Th2In3
_symmetry_space_group_name_H-M 'C m m m'
_symmetry_Int_Tables_number 65
_symmetry_space_group_name_Hall '-C 2 2'
_cell_length_a 4.795
_cell_length_b 24.827
_cell_length_c 3.552
_cell_angle_alpha 90.00
_cell_angle_beta 90.00
_cell_angle_gamma 90.00
loop_
_atom_site_label
_atom_site_type_symbol
_atom_site_fract_x
_atom_site_fract_y
_atom_site_fract_z
La1 La 0.000 0.071 0.000
Th1 Th 0.000 0.206 0.000
In1 In 0.000 0.353 0.500
In2 In 0.000 0.500 0.500
```